1.
LaScF2 | PBE | optimized geometry

- Relative energy among the computed polymorphs: 0.00 eV per formula unit
- Crystal system: trigonal
- Total magnetic moment: 0.0 μB per formula unit
- Raw formation energy: -2492 meV/atom

Geometry as CIF:
```
data_LaScF2
_cell_length_a 3.7247
_cell_length_b 3.7247
_cell_length_c 19.0049
_cell_angle_alpha 90.00
_cell_angle_beta 90.00
_cell_angle_gamma 120.00
_space_group_name_H-M_alt 'R -3 m'
_space_group_IT_number 166
_space_group_name_Hall '-R 3 2"'
loop_
_atom_site_label
_atom_site_fract_x
_atom_site_fract_y
_atom_site_fract_z
La1 0.0000 0.0000 0.0000
Sc1 0.0000 0.0000 0.5000
F1 0.0000 0.0000 0.1345
```

=====

2.
LaScF2 | PBE | optimized geometry

- Relative energy among the computed polymorphs: 0.98 eV per formula unit
- Crystal system: tetragonal
- Total magnetic moment: 0.0 μB per formula unit
- Raw formation energy: -2247 meV/atom

Geometry as CIF:
```
data_LaScF2
_cell_length_a 5.018
_cell_length_b 5.018
_cell_length_c 12.793
_cell_angle_alpha 90.00
_cell_angle_beta 90.00
_cell_angle_gamma 90.00
_space_group_name_H-M_alt 'I -4 2 d'
_space_group_IT_number 122
_space_group_name_Hall 'I -4 2bw'
loop_
_atom_site_label
_atom_site_fract_x
_atom_site_fract_y
_atom_site_fract_z
La1 0.000 0.000 0.000
Sc1 0.000 0.000 0.500
F1 0.114 0.250 0.625
```

=====

3.
La3Sc5F12 | PBE | optimized geometry

- Crystal system: cubic
- Total magnetic moment: 0.1 μB per formula unit
- Raw formation energy: -2831 meV/atom

Geometry as CIF:
```
data_La3Sc5F12
_cell_length_a 13.850
_cell_length_b 13.850
_cell_length_c 13.850
_cell_angle_alpha 90.00
_cell_angle_beta 90.00
_cell_angle_gamma 90.00
_space_group_name_H-M_alt 'I a -3 d'
_space_group_IT_number 230
_space_group_name_Hall '-I 4bd 2c 3'
loop_
_atom_site_label
_atom_site_fract_x
_atom_site_fract_y
_atom_site_fract_z
La1 0.000 0.250 0.125
Sc1 0.000 0.000 0.000
Sc2 0.000 0.250 0.375
F1 0.005 0.063 0.649
```

=====

4.
La2ScF | PBE | optimized geometry

- Relative energy among the computed polymorphs: 0.00 eV per formula unit
- Crystal system: tetragonal
- Total magnetic moment: 0.0 μB per formula unit
- Raw formation energy: -1020 meV/atom

Geometry as CIF:
```
data_La2ScF
_cell_length_a 7.748
_cell_length_b 7.748
_cell_length_c 7.878
_cell_angle_alpha 90.00
_cell_angle_beta 90.00
_cell_angle_gamma 90.00
_space_group_name_H-M_alt 'I -4 2 d'
_space_group_IT_number 122
_space_group_name_Hall 'I -4 2bw'
loop_
_atom_site_label
_atom_site_fract_x
_atom_site_fract_y
_atom_site_fract_z
La1 0.144 0.250 0.125
Sc1 0.000 0.000 0.500
F1 0.000 0.000 0.000
```

=====

5.
LaSc3F | PBE | optimized geometry

- Relative energy among the computed polymorphs: 0.00 eV per formula unit
- Crystal system: cubic
- Total magnetic moment: 0.0 μB per formula unit
- Raw formation energy: -795 meV/atom

Geometry as CIF:
```
data_LaSc3F
_cell_length_a 4.821
_cell_length_b 4.821
_cell_length_c 4.821
_cell_angle_alpha 90.00
_cell_angle_beta 90.00
_cell_angle_gamma 90.00
_space_group_name_H-M_alt 'P m -3 m'
_space_group_IT_number 221
_space_group_name_Hall '-P 4 2 3'
loop_
_atom_site_label
_atom_site_fract_x
_atom_site_fract_y
_atom_site_fract_z
La1 0.000 0.000 0.000
Sc1 0.000 0.500 0.500
F1 0.500 0.500 0.500
```

=====

6.
La3ScF | PBE | optimized geometry

- Relative energy among the computed polymorphs: 0.00 eV per formula unit
- Crystal system: cubic
- Total magnetic moment: 0.0 μB per formula unit
- Raw formation energy: -981 meV/atom

Geometry as CIF:
```
data_La3ScF
_cell_length_a 5.195
_cell_length_b 5.195
_cell_length_c 5.195
_cell_angle_alpha 90.00
_cell_angle_beta 90.00
_cell_angle_gamma 90.00
_space_group_name_H-M_alt 'P m -3 m'
_space_group_IT_number 221
_space_group_name_Hall '-P 4 2 3'
loop_
_atom_site_label
_atom_site_fract_x
_atom_site_fract_y
_atom_site_fract_z
La1 0.000 0.000 0.500
Sc1 0.500 0.500 0.500
F1 0.000 0.000 0.000
```

=====

7.
La2ScF | PBE | optimized geometry

- Relative energy among the computed polymorphs: 2.90 eV per formula unit
- Crystal system: cubic
- Total magnetic moment: 0.0 μB per formula unit
- Raw formation energy: -294 meV/atom

Geometry as CIF:
```
data_La2ScF
_cell_length_a 7.620
_cell_length_b 7.620
_cell_length_c 7.620
_cell_angle_alpha 90.00
_cell_angle_beta 90.00
_cell_angle_gamma 90.00
_space_group_name_H-M_alt 'F m -3 m'
_space_group_IT_number 225
_space_group_name_Hall '-F 4 2 3'
loop_
_atom_site_label
_atom_site_fract_x
_atom_site_fract_y
_atom_site_fract_z
La1 0.250 0.250 0.250
Sc1 0.000 0.000 0.000
F1 0.000 0.000 0.500
```

=====

8.
LaSc3F | PBE | optimized geometry

- Relative energy among the computed polymorphs: 7.93 eV per formula unit
- Crystal system: cubic
- Total magnetic moment: 0.0 μB per formula unit
- Raw formation energy: 790 meV/atom

Geometry as CIF:
```
data_LaSc3F
_cell_length_a 5.353
_cell_length_b 5.353
_cell_length_c 5.353
_cell_angle_alpha 90.00
_cell_angle_beta 90.00
_cell_angle_gamma 90.00
_space_group_name_H-M_alt 'P m -3 m'
_space_group_IT_number 221
_space_group_name_Hall '-P 4 2 3'
loop_
_atom_site_label
_atom_site_fract_x
_atom_site_fract_y
_atom_site_fract_z
La1 0.000 0.000 0.000
Sc1 0.000 0.000 0.500
F1 0.500 0.500 0.500
```